The following is a DFT calculation (GGA+U) of a geometry-optimized LiMn2CuF6 structure.

The structure in POSCAR format:
```
LiMn2CuF6
1.0
2.721 1.571 4.899
-2.721 1.571 4.899
0.000 -3.141 4.899
Li Mn Cu F
1 2 1 6
Cartesian
0.000 0.000 0.000
0.000 0.000 3.095
0.000 0.000 10.227
0.000 0.000 6.621
-0.911 -1.815 6.494
-1.796 -0.001 9.068
-1.116 1.697 6.494
0.899 -1.554 9.068
2.028 0.119 6.494
0.897 1.556 9.068
```

mass density: 3.89 Mg/m³
uncorrected energy: -5.568 eV/atom
crystal system: trigonal
volume: 125.6 Å³/cell